No. 1
DyErTh2 | GGA-PBE | optimized geometry

Computed properties:
The calculation puts the energy above the most stable polymorph in this dataset at 12.5 meV/atom. For the total magnetic moment, the calculation gives 0.0 μB per formula unit. As for the density of states at the Fermi level: 5.9 states/eV per cell. The calculation puts the energy relative to the elements at 43 meV per atom. The total energy comes out at -5.958 eV/atom.

Cell: 5.0145 5.0145 5.0461 Å, 90.00 90.00 90.00°
Closest atoms and distances in Å follow each position.
Space group P4/mmm (No. 123)
Symmetry-distinct sites (fractional):
Dy 0.0000 0.0000 0.0000 [1 per cell]  4 Er 3.55, 8 Th 3.56
Er 0.5000 0.5000 0.0000 [1 per cell]  4 Dy 3.55, 8 Th 3.56
Th 0.0000 0.5000 0.5000 [2 per cell]  4 Th 3.55, 4 Er 3.56, 4 Dy 3.56


No. 2
Dy4Er2Th3 | GGA-PBE | optimized geometry

Computed properties:
For the total magnetic moment, the calculation gives 0.0 μB per formula unit. As for the density of states at the Fermi level: 16.4 states/eV per cell. The calculation puts the energy relative to the elements at 140 meV per atom. The total energy comes out at -5.393 eV/atom.

Cell: 3.5073 3.5073 27.2730 Å, 90.00 90.00 120.00°
Closest atoms and distances in Å follow each position.
Space group P3m1 (No. 156)
Symmetry-distinct sites (fractional):
Dy 0.0000 0.0000 0.0000 [1 per cell]  1 Th 3.41, 3 Er 3.44, 6 Dy 3.51
Dy 0.0000 0.0000 0.2081 [1 per cell]  9 Dy 3.46-3.51, 3 Er 3.53
Dy 0.6667 0.3333 0.3110 [1 per cell]  1 Er 3.34, 9 Dy 3.46-3.51
Dy 0.6667 0.3333 0.7699 [1 per cell]  4 Th 3.34-3.51, 6 Dy 3.51
Er 0.6667 0.3333 0.1021 [1 per cell]  6 Dy 3.44-3.53, 6 Er 3.51
Er 0.6667 0.3333 0.4336 [1 per cell]  1 Dy 3.34, 3 Th 3.47, 6 Er 3.51
Th 0.0000 0.0000 0.5371 [1 per cell]  3 Er 3.47, 9 Th 3.51-3.63
Th 0.0000 0.0000 0.8750 [1 per cell]  4 Dy 3.41-3.51, 6 Th 3.51
Th 0.6667 0.3333 0.6473 [1 per cell]  1 Dy 3.34, 9 Th 3.51-3.63


No. 3
Dy12Er3Th | GGA-PBE | optimized geometry

Computed properties:
For the total magnetic moment, the calculation gives 0.0 μB per formula unit. As for the density of states at the Fermi level: 22.1 states/eV per cell. The calculation puts the energy relative to the elements at 25 meV per atom. The total energy comes out at -4.746 eV/atom.

Cell: 5.0095 5.0095 19.9843 Å, 90.00 90.00 90.00°
Closest atoms and distances in Å follow each position.
Space group P4/mmm (No. 123)
Symmetry-distinct sites (fractional):
Dy 0.0000 0.0000 0.0000 [1 per cell]  8 Dy 3.54, 4 Er 3.54
Dy 0.0000 0.0000 0.2482 [2 per cell]  8 Dy 3.51-3.57, 4 Er 3.54
Dy 0.0000 0.0000 0.5000 [1 per cell]  8 Dy 3.53, 4 Th 3.54
Dy 0.0000 0.5000 0.1251 [4 per cell]  8 Dy 3.51-3.54, 4 Er 3.54
Dy 0.0000 0.5000 0.3756 [4 per cell]  8 Dy 3.53-3.57, 2 Th 3.53, 2 Er 3.55
Er 0.5000 0.5000 0.0000 [1 per cell]  12 Dy 3.54
Er 0.5000 0.5000 0.2499 [2 per cell]  12 Dy 3.54-3.55
Th 0.5000 0.5000 0.5000 [1 per cell]  12 Dy 3.53-3.54


No. 4
DyEr4Th3 | GGA-PBE | optimized geometry

Computed properties:
The calculation puts the energy above the most stable polymorph in this dataset at 17.7 meV/atom. For the total magnetic moment, the calculation gives 0.0 μB per formula unit. As for the density of states at the Fermi level: 24.7 states/eV per cell. The calculation puts the energy relative to the elements at 44 meV per atom. The total energy comes out at -5.595 eV/atom.

Cell: 11.5056 7.1164 6.2080 Å, 90.00 90.00 90.00°
Closest atoms and distances in Å follow each position.
Space group Pmn2_1 (No. 31)
Symmetry-distinct sites (fractional):
Dy 0.0000 0.1246 0.0000 [2 per cell]  6 Th 3.51-3.58, 6 Er 3.51-3.63
Er 0.0000 0.3738 0.4900 [2 per cell]  2 Dy 3.52-3.63, 6 Er 3.54-3.61, 4 Th 3.54-3.57
Er 0.0000 0.6312 0.9913 [2 per cell]  2 Dy 3.51-3.61, 4 Th 3.52-3.59, 6 Er 3.55-3.61
Er 0.2496 0.3731 0.8312 [4 per cell]  5 Th 3.48-3.65, 1 Dy 3.53, 6 Er 3.54-3.59
Th 0.0000 0.8758 0.4979 [2 per cell]  4 Th 3.51-3.52, 6 Er 3.52-3.59, 2 Dy 3.56-3.58
Th 0.2504 0.1162 0.3227 [4 per cell]  6 Er 3.48-3.65, 4 Th 3.51-3.52, 2 Dy 3.51-3.52


No. 5
Dy6Er3Th | GGA-PBE | optimized geometry

Computed properties:
The calculation puts the energy above the most stable polymorph in this dataset at 0.0 meV/atom. For the total magnetic moment, the calculation gives 0.0 μB per formula unit. As for the density of states at the Fermi level: 56.7 states/eV per cell. The calculation puts the energy relative to the elements at 168 meV per atom. The total energy comes out at -4.704 eV/atom.

Cell: 11.0736 18.8173 6.1726 Å, 90.00 90.00 90.00°
Closest atoms and distances in Å follow each position.
Space group Cmc2_1 (No. 36)
Symmetry-distinct sites (fractional):
Dy 0.0000 0.0456 0.0000 [4 per cell]  1 Th 3.33, 4 Er 3.50-3.58, 2 Dy 3.53
Dy 0.0000 0.2753 0.7319 [4 per cell]  4 Dy 3.21-3.37, 2 Th 3.35-3.36, 1 Er 3.38
Dy 0.1639 0.4550 0.6259 [8 per cell]  5 Dy 3.40-3.80, 4 Er 3.41-3.63
Dy 0.2462 0.2895 0.4601 [8 per cell]  5 Dy 3.21-3.43, 2 Th 3.27-3.45, 2 Er 3.29-3.52
Er 0.0000 0.3880 0.1592 [4 per cell]  7 Dy 3.38-3.78, 1 Th 3.46, 2 Er 3.70
Er 0.1719 0.1099 0.5491 [8 per cell]  1 Th 3.27, 6 Dy 3.29-3.58
Th 0.0000 0.2055 0.2314 [4 per cell]  3 Er 3.27-3.46, 7 Dy 3.27-3.45


No. 6
DyEr5Th | GGA-PBE | optimized geometry

Computed properties:
The calculation puts the energy above the most stable polymorph in this dataset at 82.6 meV/atom. For the total magnetic moment, the calculation gives 0.0 μB per formula unit. As for the density of states at the Fermi level: 19.4 states/eV per cell. The calculation puts the energy relative to the elements at 293 meV per atom. The total energy comes out at -4.683 eV/atom.

Cell: 6.4928 6.5337 10.4455 Å, 90.00 90.00 90.00°
Closest atoms and distances in Å follow each position.
Space group Imm2 (No. 44)
Symmetry-distinct sites (fractional):
Dy 0.0000 0.0000 0.0000 [2 per cell]  2 Er 3.43, 2 Th 3.44
Er 0.0000 0.2284 0.6526 [4 per cell]  3 Er 2.98-3.24, 1 Th 3.25
Er 0.0000 0.5000 0.0995 [2 per cell]  1 Th 3.06, 2 Er 3.15
Er 0.2285 0.0000 0.3493 [4 per cell]  4 Er 2.97-3.24
Th 0.0000 0.5000 0.3921 [2 per cell]  3 Er 3.06-3.25